Compound: CaPt2N
Source: Alexandria via LeMat-Bulk
Functional: PBE-GGA
Structure: relaxed

POSCAR file:
```
CaPt2N
1.0
5.141 0.000 0.000
0.000 5.141 0.000
0.000 0.000 12.551
Ca Pt N
4 8 4
Direct
0.000 0.000 0.000
0.000 0.500 0.250
0.500 0.000 0.750
0.500 0.500 0.500
0.016 0.250 0.625
0.250 0.516 0.875
0.250 0.984 0.375
0.484 0.250 0.125
0.516 0.750 0.125
0.750 0.016 0.375
0.750 0.484 0.875
0.984 0.750 0.625
0.000 0.000 0.500
0.000 0.500 0.750
0.500 0.000 0.250
0.500 0.500 0.000
```

Calculated values
Raw formation energy   -212 meV/atom
Calculated total energy   -93.019 eV per cell
Calculated density   8.895 Mg/m³
Symmetry   I-42d (122)

***

Compound: LuHg2Bi
Source: Alexandria via LeMat-Bulk
Functional: PBE-GGA
Structure: relaxed

POSCAR file:
```
LuHg2Bi
1.0
4.503 0.000 0.000
0.000 4.503 0.000
0.000 0.000 5.044
Lu Hg Bi
1 2 1
Direct
0.000 0.000 0.000
0.000 0.500 0.500
0.500 0.000 0.500
0.500 0.500 0.000
```

Calculated values
Energy of formation   -0.311 eV/atom
Calculated total energy   -10.248 eV per cell
Calculated density   12.745 Mg/m³
Symmetry   P4/mmm (123)

***

Compound: Sr2HoZrAs4
Source: Alexandria via LeMat-Bulk
Functional: PBE-GGA
Structure: relaxed

POSCAR file:
```
Sr2HoZrAs4
1.0
7.191 0.000 0.000
0.000 4.131 0.000
-2.367 0.000 7.135
Sr Ho Zr As
2 1 1 4
Direct
0.000 0.000 0.000
0.500 0.500 0.000
0.000 0.500 0.500
0.500 0.000 0.500
0.250 0.000 0.718
0.272 0.500 0.286
0.728 0.500 0.714
0.750 0.000 0.282
```

Calculated values
Energy of formation   -1.176 eV/atom
Calculated total energy   -44.493 eV per cell
Calculated density   5.728 Mg/m³
Symmetry   P2/m (10)

***

Compound: HfUP2
Source: Alexandria via LeMat-Bulk
Functional: PBE-GGA
Structure: relaxed

POSCAR file:
```
HfUP2
1.0
3.798 0.000 0.000
-1.899 3.289 0.000
0.000 0.000 18.794
Hf U P
3 3 6
Direct
0.000 0.000 0.000
0.333 0.667 0.667
0.667 0.333 0.333
0.000 0.000 0.500
0.333 0.667 0.167
0.667 0.333 0.833
0.000 0.000 0.255
0.000 0.000 0.745
0.333 0.667 0.412
0.333 0.667 0.922
0.667 0.333 0.078
0.667 0.333 0.588
```

Calculated values
Energy of formation   -1.181 eV/atom
Calculated total energy   -110.357 eV per cell
Calculated density   10.154 Mg/m³
Symmetry   R-3m (166)
Excess energy over the best structure of this formula in the dataset   0.00 eV per formula unit

***

Compound: TaMn2As
Source: Alexandria via LeMat-Bulk
Functional: PBE-GGA
Structure: relaxed

POSCAR file:
```
TaMn2As
1.0
3.852 0.000 0.000
0.000 3.852 0.000
0.000 0.000 3.803
Ta Mn As
1 2 1
Direct
0.000 0.000 0.000
0.000 0.500 0.500
0.500 0.000 0.500
0.500 0.500 0.000
```

Calculated values
Energy of formation   -0.086 eV/atom
Calculated total energy   -35.186 eV per cell
Calculated density   10.764 Mg/m³
Symmetry   P4/mmm (123)

***

Compound: Pm8CuGe5
Source: Alexandria via LeMat-Bulk
Functional: PBE-GGA
Structure: relaxed

POSCAR file:
```
Pm8CuGe5
1.0
-4.521 4.521 4.581
4.521 -4.521 4.581
4.521 4.521 -4.581
Pm Cu Ge
8 1 5
Direct
0.001 0.886 0.258
0.114 0.372 0.115
0.128 0.379 0.620
0.257 0.999 0.885
0.493 0.872 0.252
0.621 0.241 0.748
0.628 0.743 0.742
0.759 0.507 0.380
0.500 0.500 0.000
0.250 0.750 0.500
0.377 0.254 0.375
0.746 0.121 0.123
0.879 0.003 0.625
0.997 0.623 0.877
```

Calculated values
Energy of formation   -0.680 eV/atom
Calculated total energy   -74.712 eV per cell
Calculated density   7.035 Mg/m³
Symmetry   I-4 (82)

***

Compound: LaMg6Sc
Source: Alexandria via LeMat-Bulk
Functional: PBE-GGA
Structure: relaxed

POSCAR file:
```
LaMg6Sc
1.0
6.772 0.000 0.000
0.000 6.772 0.000
0.000 0.000 4.431
La Mg Sc
1 6 1
Direct
0.000 0.000 0.000
0.000 0.500 0.000
0.263 0.263 0.500
0.263 0.737 0.500
0.500 0.000 0.000
0.737 0.263 0.500
0.737 0.737 0.500
0.500 0.500 0.000
```

Calculated values
Energy of formation   -0.033 eV/atom
Calculated total energy   -21.089 eV per cell
Calculated density   2.695 Mg/m³
Symmetry   P4/mmm (123)
Excess energy over the best structure of this formula in the dataset   0.02 eV per formula unit

***

Compound: MnOsPb
Source: Alexandria via LeMat-Bulk
Functional: PBE-GGA
Structure: relaxed

POSCAR file:
```
MnOsPb
1.0
4.340 0.000 0.000
-2.170 3.758 0.000
0.000 0.000 3.307
Mn Os Pb
1 1 1
Direct
0.000 0.000 0.000
0.333 0.667 0.116
0.667 0.333 0.567
```

Calculated values
Energy of formation   0.812 eV/atom
Calculated total energy   -21.671 eV per cell
Calculated density   13.927 Mg/m³
Symmetry   P3m1 (156)
Excess energy over the best structure of this formula in the dataset   0.58 eV per formula unit

***

Compound: TlOsSe2Br
Source: Alexandria via LeMat-Bulk
Functional: PBE-GGA
Structure: relaxed

POSCAR file:
```
TlOsSe2Br
1.0
4.858 0.000 0.000
0.000 4.858 0.000
0.000 0.000 5.571
Tl Os Se Br
1 1 2 1
Direct
0.000 0.000 0.000
0.500 0.500 0.500
0.000 0.500 0.500
0.500 0.000 0.500
0.500 0.500 0.000
```

Calculated values
Raw formation energy   167 meV/atom
Calculated total energy   -21.402 eV per cell
Calculated density   7.987 Mg/m³
Symmetry   P4/mmm (123)
Excess energy over the best structure of this formula in the dataset   0.00 eV per formula unit

***

Compound: ScTi2V
Source: Alexandria via LeMat-Bulk
Functional: PBE-GGA
Structure: relaxed

POSCAR file:
```
ScTi2V
1.0
7.179 0.000 0.000
0.000 7.179 0.000
0.000 0.000 5.635
Sc Ti V
4 8 4
Direct
0.000 0.000 0.000
0.000 0.500 0.250
0.500 0.000 0.750
0.500 0.500 0.500
0.223 0.750 0.625
0.250 0.223 0.375
0.250 0.277 0.875
0.277 0.750 0.125
0.723 0.250 0.125
0.750 0.723 0.875
0.750 0.777 0.375
0.777 0.250 0.625
0.000 0.000 0.500
0.000 0.500 0.750
0.500 0.000 0.250
0.500 0.500 0.000
```

Calculated values
Energy of formation   0.519 eV/atom
Calculated total energy   -116.654 eV per cell
Calculated density   4.383 Mg/m³
Symmetry   I-42d (122)
Excess energy over the best structure of this formula in the dataset   1.67 eV per formula unit

***

Compound: NaHoHg2
Source: Alexandria via LeMat-Bulk
Functional: PBE-GGA
Structure: relaxed

POSCAR file:
```
NaHoHg2
1.0
5.318 0.000 0.000
0.000 5.318 0.000
0.000 0.000 3.534
Na Ho Hg
1 1 2
Direct
0.000 0.000 0.000
0.500 0.500 0.000
0.000 0.500 0.500
0.500 0.000 0.500
```

Calculated values
Energy of formation   -0.358 eV/atom
Calculated total energy   -7.933 eV per cell
Calculated density   9.788 Mg/m³
Symmetry   P4/mmm (123)

***

Compound: GdScAs2
Source: Alexandria via LeMat-Bulk
Functional: PBE-GGA
Structure: relaxed

POSCAR file:
```
GdScAs2
1.0
4.029 0.000 0.000
-2.015 3.489 0.000
0.000 0.000 19.661
Gd Sc As
3 3 6
Direct
0.000 0.000 0.000
0.333 0.667 0.667
0.667 0.333 0.333
0.000 0.000 0.500
0.333 0.667 0.167
0.667 0.333 0.833
0.000 0.000 0.244
0.000 0.000 0.756
0.333 0.667 0.422
0.333 0.667 0.911
0.667 0.333 0.089
0.667 0.333 0.578
```

Calculated values
Energy of formation   -1.442 eV/atom
Calculated total energy   -106.435 eV per cell
Calculated density   6.345 Mg/m³
Symmetry   R-3m (166)

***

Compound: Li3H3Rh
Source: Alexandria via LeMat-Bulk
Functional: PBE-GGA
Structure: relaxed

POSCAR file:
```
Li3H3Rh
1.0
8.041 0.000 0.000
0.000 3.008 0.000
0.000 0.000 11.326
Li H Rh
12 12 4
Direct
0.116 0.250 0.005
0.117 0.750 0.662
0.225 0.250 0.352
0.275 0.750 0.852
0.383 0.250 0.162
0.384 0.750 0.505
0.616 0.250 0.495
0.617 0.750 0.838
0.725 0.250 0.148
0.775 0.750 0.648
0.883 0.250 0.338
0.884 0.750 0.995
0.025 0.750 0.849
0.052 0.750 0.341
0.212 0.750 0.066
0.288 0.250 0.566
0.448 0.250 0.841
0.475 0.250 0.349
0.525 0.750 0.651
0.552 0.750 0.159
0.712 0.750 0.434
0.788 0.250 0.934
0.948 0.250 0.659
0.975 0.250 0.151
0.083 0.750 0.190
0.417 0.250 0.690
0.583 0.750 0.310
0.917 0.250 0.810
```

Calculated values
Calculated total energy   -101.670 eV per cell
Calculated density   3.074 Mg/m³
Symmetry   Pnma (62)
Excess energy over the best structure of this formula in the dataset   0.10 eV per formula unit

***

Compound: Na2PuIrO6
Source: Alexandria via LeMat-Bulk
Functional: PBE-GGA
Structure: relaxed

POSCAR file:
```
Na2PuIrO6
1.0
5.723 0.000 0.000
0.000 5.723 0.000
0.000 0.000 4.066
Na Pu Ir O
2 1 1 6
Direct
0.000 0.500 0.000
0.500 0.000 0.000
0.000 0.000 0.500
0.500 0.500 0.500
0.000 0.000 0.000
0.255 0.255 0.500
0.255 0.745 0.500
0.500 0.500 0.000
0.745 0.255 0.500
0.745 0.745 0.500
```

Calculated values
Raw formation energy   -1716 meV/atom
Calculated total energy   -72.743 eV per cell
Calculated density   7.210 Mg/m³
Symmetry   P4/mmm (123)

***

Compound: BaNi2Au
Source: Alexandria via LeMat-Bulk
Functional: PBE-GGA
Structure: relaxed

POSCAR file:
```
BaNi2Au
1.0
3.300 0.000 0.000
0.000 3.300 0.000
0.000 0.000 7.284
Ba Ni Au
1 2 1
Direct
0.000 0.000 0.000
0.000 0.000 0.444
0.500 0.500 0.318
0.500 0.500 0.667
```

Calculated values
Energy of formation   0.183 eV/atom
Calculated total energy   -16.031 eV per cell
Calculated density   9.457 Mg/m³
Symmetry   P4mm (99)
Excess energy over the best structure of this formula in the dataset   1.49 eV per formula unit

***

Compound: LaTaCl
Source: Alexandria via LeMat-Bulk
Functional: PBE-GGA
Structure: relaxed

POSCAR file:
```
LaTaCl
1.0
3.368 0.000 0.000
0.000 5.442 0.000
0.000 0.000 14.972
La Ta Cl
4 4 4
Direct
0.000 0.000 0.000
0.000 0.500 0.500
0.500 0.000 0.500
0.500 0.500 0.000
0.000 0.000 0.678
0.000 0.500 0.178
0.500 0.000 0.178
0.500 0.500 0.678
0.000 0.000 0.314
0.000 0.500 0.814
0.500 0.000 0.814
0.500 0.500 0.314
```

Calculated values
Raw formation energy   -13 meV/atom
Calculated total energy   -74.660 eV per cell
Calculated density   8.601 Mg/m³
Symmetry   Fmm2 (42)
Excess energy over the best structure of this formula in the dataset   0.37 eV per formula unit

***

Compound: Co3BI
Source: Alexandria via LeMat-Bulk
Functional: PBE-GGA
Structure: relaxed

POSCAR file:
```
Co3BI
1.0
4.624 0.000 0.000
0.000 4.624 0.000
0.000 0.000 4.624
Co B I
3 1 1
Direct
0.000 0.000 0.500
0.000 0.500 0.000
0.500 0.000 0.000
0.500 0.500 0.500
0.000 0.000 0.000
```

Calculated values
Raw formation energy   2208 meV/atom
Calculated total energy   -18.504 eV per cell
Calculated density   5.283 Mg/m³
Symmetry   Pm-3m (221)
Excess energy over the best structure of this formula in the dataset   8.63 eV per formula unit

***

Compound: SrCdC2
Source: Alexandria via LeMat-Bulk
Functional: PBE-GGA
Structure: relaxed

POSCAR file:
```
SrCdC2
1.0
4.589 0.000 0.000
0.000 4.589 0.000
0.000 0.000 14.417
Sr Cd C
4 4 8
Direct
0.000 0.000 0.000
0.000 0.500 0.250
0.500 0.000 0.750
0.500 0.500 0.500
0.000 0.000 0.500
0.000 0.500 0.750
0.500 0.000 0.250
0.500 0.500 0.000
0.119 0.250 0.625
0.250 0.619 0.875
0.250 0.881 0.375
0.381 0.250 0.125
0.619 0.750 0.125
0.750 0.119 0.375
0.750 0.381 0.875
0.881 0.750 0.625
```

Calculated values
Energy of formation   1.561 eV/atom
Calculated total energy   -59.207 eV per cell
Calculated density   4.903 Mg/m³
Symmetry   I-42d (122)

***

Compound: CdTc2Hg
Source: Alexandria via LeMat-Bulk
Functional: PBE-GGA
Structure: relaxed

POSCAR file:
```
CdTc2Hg
1.0
3.938 0.000 0.000
0.000 3.938 0.000
0.000 0.000 4.482
Cd Tc Hg
1 2 1
Direct
0.000 0.000 0.000
0.000 0.500 0.500
0.500 0.000 0.500
0.500 0.500 0.000
```

Calculated values
Energy of formation   0.682 eV/atom
Calculated total energy   -19.219 eV per cell
Calculated density   12.159 Mg/m³
Symmetry   P4/mmm (123)
Excess energy over the best structure of this formula in the dataset   2.03 eV per formula unit

***

Compound: Pm4NdY
Source: Alexandria via LeMat-Bulk
Functional: PBE-GGA
Structure: relaxed

POSCAR file:
```
Pm4NdY
1.0
0.000 4.738 4.738
4.738 0.000 4.738
4.738 4.738 0.000
Pm Nd Y
4 1 1
Direct
0.124 0.124 0.124
0.124 0.124 0.627
0.124 0.627 0.124
0.627 0.124 0.124
0.500 0.500 0.500
0.750 0.750 0.750
```

Calculated values
Energy of formation   0.243 eV/atom
Calculated total energy   -28.779 eV per cell
Calculated density   6.348 Mg/m³
Symmetry   F-43m (216)
Excess energy over the best structure of this formula in the dataset   1.37 eV per formula unit